# YLuSnTe3 | the Open Quantum Materials Database | PBE | relaxed
# * density: 6.4 g/cm3
# * excess energy over the best structure of this formula in the dataset: 0 meV/atom
data_YLuSnTe3
_chemical_formula_sum 'Y4 Lu4 Sn4 Te12'
_symmetry_space_group_name_H-M 'C m c m'
_symmetry_Int_Tables_number 63
_symmetry_space_group_name_Hall '-C 2c 2'
_cell_length_a 4.186
_cell_length_b 16.112
_cell_length_c 11.848
_cell_angle_alpha 90.00
_cell_angle_beta 90.00
_cell_angle_gamma 90.00
loop_
_atom_site_label
_atom_site_fract_x
_atom_site_fract_y
_atom_site_fract_z
Y1 0.000 0.129 0.250
Lu1 0.000 0.500 0.000
Sn1 0.000 0.214 0.750
Te1 0.000 0.137 0.506
Te2 0.000 0.491 0.250